# Hg2BiBr6 | Alexandria via LeMat-Bulk | PBE | relaxed
data_Hg2BiBr6
_chemical_formula_sum 'Hg8 Bi4 Br24'
_cell_length_a 15.6254
_cell_length_b 12.8562
_cell_length_c 7.4421
_cell_angle_alpha 90.00
_cell_angle_beta 100.05
_cell_angle_gamma 90.00
_symmetry_space_group_name_H-M 'C 1 2/c 1'
_symmetry_Int_Tables_number 15
loop_
_symmetry_equiv_pos_as_xyz
'x,y,z'
'-x,-y,-z'
'-x,y,-z+1/2'
'x,-y,z+1/2'
'x+1/2,y+1/2,z'
'-x+1/2,-y+1/2,-z'
'-x+1/2,y+1/2,-z+1/2'
'x+1/2,-y+1/2,z+1/2'
loop_
_atom_site_label
_atom_site_fract_x
_atom_site_fract_y
_atom_site_fract_z
Hg1 0.0909 0.0800 0.3002
Bi1 0.0000 0.4160 0.2500
Br1 0.1043 0.4246 0.6133
Br2 0.1239 0.2679 0.1482
Br3 0.1620 0.0877 0.6592
# Calculated total energy (eV per atom): -2.081
# Raw formation energy (eV/atom): -0.47
# Magnetization (μB per cell): 0.0
# Theoretical density (g/cm³): 4.92